6
Lattice="4.474 0.000 0.000 -2.153 4.009 0.000 -1.886 -1.520 9.904" Properties=species:S:1:pos:R:3 comment="SrPSe GGA-PBE optimized geometry" dos_at_fermi_per_ev_cell=0.1 spacegroup="No. 1" e_form_raw_ev_per_atom=-1.043 e_tot_ev_per_atom=-4.569 pbc="T T T"
Sr 0.000 0.000 0.000
Sr 0.377 -0.192 6.321
P 0.752 1.022 2.926
P 2.331 1.448 1.725
Se -1.834 1.108 8.137
Se 0.464 2.502 4.681